A:
Below is a relaxed PuSn4 crystal, with properties calculated at the PBE level.

Calculated values
Density = 8.93 g/cm3
Volume = 267.46 Å³ per cell
Density of states at the Fermi level = 9.9 states/eV/f.u.

Unit cell a=12.7689 b=12.7689 c=12.7689 alpha=164.82 beta=150.59 gamma=33.25
Closest atoms and distances in Å follow each position.
Fractional positions:
1 Pu 0.3470 0.0970 0.2500  10 Sn 3.24-3.38, 2 Pu 3.37
2 Pu 0.6530 0.9030 0.7500  10 Sn 3.24-3.38, 2 Pu 3.37
3 Sn 0.0000 0.5000 0.5000  8 Sn 3.24-3.37, 4 Pu 3.33
4 Sn 0.1531 0.9031 0.2500  2 Pu 3.24, 10 Sn 3.32-3.37
5 Sn 0.1843 0.6950 0.4893  8 Sn 3.10-3.38, 2 Pu 3.38
6 Sn 0.2942 0.3050 0.9893  8 Sn 3.10-3.38, 2 Pu 3.38
7 Sn 0.5000 0.5000 0.0000  8 Sn 3.24-3.37, 4 Pu 3.33
8 Sn 0.7058 0.6950 0.0107  8 Sn 3.10-3.38, 2 Pu 3.38
9 Sn 0.8157 0.3050 0.5107  8 Sn 3.10-3.38, 2 Pu 3.38
10 Sn 0.8469 0.0969 0.7500  2 Pu 3.24, 10 Sn 3.32-3.37



B:
Below is a relaxed PuSn4 crystal, with properties calculated at the PBE level.

Calculated values
Density = 6.30 g/cm3
Volume = 189.61 Å³ per cell
Density of states at the Fermi level = 13.3 states/eV/f.u.

Unit cell a=5.7449 b=5.7449 c=5.7449 alpha=90.00 beta=90.00 gamma=90.00
Closest atoms and distances in Å follow each position.
Fractional positions:
1 Pu 0.0000 0.0000 0.0000  6 Sn 2.87
2 Sn 0.0000 0.0000 0.5000  2 Pu 2.87
3 Sn 0.0000 0.5000 0.0000  2 Pu 2.87
4 Sn 0.5000 0.0000 0.0000  2 Pu 2.87
5 Sn 0.5000 0.5000 0.5000  12 Sn 4.06



Of all the structures shown, which is most stable? A, and B is the least stable.